(1)
## YS2ClF (GGA-PBEsol)

Data for a relaxed YS2ClF crystal.

Unit cell a=5.310 b=5.310 c=5.092 alpha=90.00 beta=90.00 gamma=90.00
Element x y z (fractional)
Y: 0.000 0.000 0.000
S: 0.000 0.500 0.000
S: 0.500 0.000 0.000
Cl: 0.000 0.000 0.500
F: 0.500 0.500 0.500

E_form (uncorrected) = -0.6022 eV per atom
mass density = 2.40 g/cm3
total magnetic moment = 3.01 μB per cell



(2)
## BaHg3Pt (GGA-PBEsol)

Data for a relaxed BaHg3Pt crystal.

Unit cell a=6.030 b=6.030 c=6.030 alpha=90.00 beta=90.00 gamma=90.00
Element x y z (fractional)
Ba: 0.000 0.000 0.000
Hg: 0.000 0.000 0.500
Hg: 0.000 0.500 0.000
Hg: 0.500 0.000 0.000
Pt: 0.500 0.500 0.500

mass density = 7.07 g/cm3
energy above the most stable polymorph in this dataset = 1520 meV per atom
formation energy from the elements = 1.15 eV/atom
total magnetic moment = 0.28 μB per cell



(3)
## YTe (GGA-PBEsol)

Data for a relaxed YTe crystal.

Unit cell a=6.598 b=6.598 c=6.598 alpha=146.15 beta=135.98 gamma=56.66
Element x y z (fractional)
Y: 0.362 0.112 0.250
Y: 0.638 0.888 0.750
Te: 0.140 0.390 0.750
Te: 0.860 0.610 0.250

E_form (uncorrected) = -1.0330 eV per atom
mass density = 6.52 g/cm3
total magnetic moment = 0.01 μB per cell



(4)
## HfFe3H (GGA-PBEsol)

Data for a relaxed HfFe3H crystal.

Unit cell a=3.748 b=3.748 c=3.748 alpha=90.00 beta=90.00 gamma=90.00
Element x y z (fractional)
Hf: 0.000 0.000 0.000
Fe: 0.000 0.500 0.500
Fe: 0.500 0.000 0.500
Fe: 0.500 0.500 0.000
H: 0.500 0.500 0.500

mass density = 10.95 g/cm3
total magnetic moment = 4.73 μB per cell



Calculated DOS at the Fermi energy in order - 0.769, 1.965, 1.082, 1.185 states/eV per atom
Calculated uncorrected energy in order - -4.507, -1.008, -6.207, -8.243 eV/atom